Entry from the Alexandria database: a geometry-optimized Pr4GaAgAu2 structure (PBE).

Formation energy: -0.555 eV/atom

The structure in CIF format:
```
data_Pr4GaAgAu2
_chemical_formula_sum 'Pr12 Ga3 Ag3 Au6'
_cell_length_a 5.3068
_cell_length_b 5.3068
_cell_length_c 26.0330
_cell_angle_alpha 90.00
_cell_angle_beta 90.00
_cell_angle_gamma 120.00
_space_group_name_H-M_alt 'R -3 m'
_space_group_IT_number 166
_space_group_name_Hall '-R 3 2"'
loop_
_atom_site_label
_atom_site_type_symbol
_atom_site_fract_x
_atom_site_fract_y
_atom_site_fract_z
Pr1 Pr 0.0000 0.0000 0.1237
Pr2 Pr 0.0000 0.0000 0.3744
Ga1 Ga 0.0000 0.0000 0.0000
Ag1 Ag 0.0000 0.0000 0.5000
Au1 Au 0.0000 0.0000 0.2500
```

Entry from the Alexandria database: a geometry-optimized TiSnN2F structure (PBE).

Relative energy among the computed polymorphs: 0 meV/atom
Formation energy (no corrections): -0.751 eV per atom

The structure in CIF format:
```
data_TiSnN2F
_chemical_formula_sum 'Ti1 Sn1 N2 F1'
_cell_length_a 4.038
_cell_length_b 4.038
_cell_length_c 3.971
_cell_angle_alpha 90.00
_cell_angle_beta 90.00
_cell_angle_gamma 90.00
_space_group_name_H-M_alt 'P 4/m m m'
_space_group_IT_number 123
_space_group_name_Hall '-P 4 2'
loop_
_atom_site_label
_atom_site_type_symbol
_atom_site_fract_x
_atom_site_fract_y
_atom_site_fract_z
Ti1 Ti 0.000 0.000 0.000
Sn1 Sn 0.500 0.500 0.500
N1 N 0.000 0.500 0.000
F1 F 0.000 0.000 0.500
```

Entry from the Alexandria database: a geometry-optimized Zn7Pd2Au3 structure (PBE).

Formation energy: -0.204 eV/atom
Relative energy among the computed polymorphs: 0 meV/atom

The structure in CIF format:
```
data_Zn7Pd2Au3
_chemical_formula_sum 'Zn14 Pd4 Au6'
_cell_length_a 4.116
_cell_length_b 24.704
_cell_length_c 3.926
_cell_angle_alpha 90.00
_cell_angle_beta 90.00
_cell_angle_gamma 90.00
_space_group_name_H-M_alt 'C m m m'
_space_group_IT_number 65
_space_group_name_Hall '-C 2 2'
loop_
_atom_site_label
_atom_site_type_symbol
_atom_site_fract_x
_atom_site_fract_y
_atom_site_fract_z
Zn1 Zn 0.000 0.000 0.000
Zn2 Zn 0.000 0.081 0.500
Zn3 Zn 0.000 0.276 0.000
Zn4 Zn 0.000 0.422 0.000
Pd1 Pd 0.000 0.158 0.000
Au1 Au 0.000 0.347 0.500
Au2 Au 0.000 0.500 0.500
```

Entry from the Alexandria database: a geometry-optimized HoHRh2 structure (PBE).

Uncorrected energy: -5.41 eV/atom

The structure in CIF format:
```
data_HoHRh2
_chemical_formula_sum 'Ho3 H3 Rh6'
_cell_length_a 2.9787
_cell_length_b 2.9787
_cell_length_c 22.3572
_cell_angle_alpha 90.00
_cell_angle_beta 90.00
_cell_angle_gamma 120.00
_space_group_name_H-M_alt 'R -3 m'
_space_group_IT_number 166
_space_group_name_Hall '-R 3 2"'
loop_
_atom_site_label
_atom_site_type_symbol
_atom_site_fract_x
_atom_site_fract_y
_atom_site_fract_z
Ho1 Ho 0.0000 0.0000 0.0000
H1 H 0.0000 0.0000 0.5000
Rh1 Rh 0.0000 0.0000 0.1155
```

Entry from the Alexandria database: a geometry-optimized NdHoMo4 structure (PBE).

Formation energy: 0.174 eV/atom

The structure in CIF format:
```
data_NdHoMo4
_chemical_formula_sum 'Nd4 Ho4 Mo16'
_cell_length_a 7.847
_cell_length_b 7.847
_cell_length_c 7.847
_cell_angle_alpha 90.00
_cell_angle_beta 90.00
_cell_angle_gamma 90.00
_space_group_name_H-M_alt 'F -4 3 m'
_space_group_IT_number 216
_space_group_name_Hall 'F -4 2 3'
loop_
_atom_site_label
_atom_site_type_symbol
_atom_site_fract_x
_atom_site_fract_y
_atom_site_fract_z
Nd1 Nd 0.000 0.000 0.000
Ho1 Ho 0.250 0.250 0.750
Mo1 Mo 0.125 0.125 0.375
```

Entry from the Alexandria database: a geometry-optimized BaTa2Ru structure (PBE).

Formation energy: 0.719 eV/atom
Relative energy among the computed polymorphs: 365 meV/atom

The structure in CIF format:
```
data_BaTa2Ru
_chemical_formula_sum 'Ba2 Ta4 Ru2'
_cell_length_a 3.061
_cell_length_b 5.482
_cell_length_c 10.816
_cell_angle_alpha 90.00
_cell_angle_beta 90.00
_cell_angle_gamma 90.00
_space_group_name_H-M_alt 'I m m m'
_space_group_IT_number 71
_space_group_name_Hall '-I 2 2'
loop_
_atom_site_label
_atom_site_type_symbol
_atom_site_fract_x
_atom_site_fract_y
_atom_site_fract_z
Ba1 Ba 0.000 0.000 0.000
Ta1 Ta 0.000 0.500 0.198
Ru1 Ru 0.000 0.000 0.500
```